Computed, not measured: an optimized crystal structure of Co3OF5 at the PBEsol level of DFT.

Theoretical density (g/cm³): 4.957
ΔE_f (raw) (meV/atom): -1494
Energy relative to the lowest polymorph listed for this composition (meV per atom): 35
Calculated total energy (eV/atom): -5.73

abc: 5.540 5.540 7.029
angles: 72.59 72.59 74.70
Positions (direct):
Co: 0.662 0.662 0.829
Co: 0.697 0.697 0.337
Co: 0.000 0.000 0.000
Co: 0.000 0.000 0.500
Co: 0.338 0.338 0.171
Co: 0.303 0.303 0.663
O: 0.086 0.086 0.699
O: 0.914 0.914 0.301
F: 0.974 0.373 0.338
F: 0.299 0.701 0.000
F: 0.763 0.763 0.031
F: 0.448 0.448 0.363
F: 0.552 0.552 0.637
F: 0.237 0.237 0.969
F: 0.373 0.974 0.338
F: 0.701 0.299 0.000
F: 0.026 0.627 0.662
F: 0.627 0.026 0.662